1.
Compound: DyBeCu4
Source: Alexandria
Functional: GGA-PBE
Structure: optimized geometry

a = 4.9576 Å, b = 4.9576 Å, c = 4.9576 Å
α = 60.00°, β = 60.00°, γ = 60.00°
Last column: nearest neighbours and their distance in Å.
Fractional positions:
Cu  0.1209  0.6264  0.6264  6 Cu 2.45-2.51
Cu  0.6264  0.1209  0.6264  6 Cu 2.45-2.51
Cu  0.6264  0.6264  0.6264  6 Cu 2.45-2.51
Be  0.0000  0.0000  0.0000  12 Cu 2.90, 4 Dy 3.04
Cu  0.6264  0.6264  0.1209  6 Cu 2.45-2.51
Dy  0.2500  0.2500  0.2500  12 Cu 2.91, 4 Be 3.04

E_form = -0.065 eV per atom


2.
Compound: K3ZnTe
Source: Alexandria
Functional: GGA-PBE
Structure: optimized geometry

a = 6.7088 Å, b = 6.7088 Å, c = 6.7088 Å
α = 90.00°, β = 90.00°, γ = 90.00°
Last column: nearest neighbours and their distance in Å.
Fractional positions:
K  0.0000  0.5000  0.0000  2 Te 3.35
Zn  0.5000  0.5000  0.5000  12 K 4.74
Te  0.0000  0.0000  0.0000  6 K 3.35
K  0.5000  0.0000  0.0000  2 Te 3.35
K  0.0000  0.0000  0.5000  2 Te 3.35

uncorrected formation energy = -339.8 meV/atom


3.
Compound: CaP2Rh
Source: Alexandria
Functional: GGA-PBE
Structure: optimized geometry

a = 6.3300 Å, b = 6.3300 Å, c = 6.3300 Å
α = 146.62°, β = 148.52°, γ = 46.54°
Last column: nearest neighbours and their distance in Å.
Fractional positions:
P  0.6694  0.1694  0.5000  2 Rh 2.33
Ca  0.2915  0.7915  0.5000  6 P 2.88-2.92
P  0.9946  0.9946  0.0000  4 Rh 2.57, 2 P 2.66
Rh  0.5445  0.5445  0.0000  6 P 2.33-2.57

E_form = -0.520 eV per atom


4.
Compound: Tl2Te2Pt
Source: Alexandria
Functional: GGA-PBE
Structure: optimized geometry

a = 4.0625 Å, b = 4.0625 Å, c = 9.1342 Å
α = 77.15°, β = 77.15°, γ = 90.00°
Last column: nearest neighbours and their distance in Å.
Fractional positions:
Tl  0.7500  0.2500  0.5000  4 Tl 2.87
Te  0.4194  0.4194  0.1611  1 Te 2.79
Tl  0.2500  0.7500  0.5000  4 Tl 2.87
Te  0.5806  0.5806  0.8389  1 Te 2.79
Pt  0.0000  0.0000  0.0000  8 Te 3.19

uncorrected formation energy = 455.9 meV/atom


5.
Compound: KTa2Cd
Source: Alexandria
Functional: GGA-PBE
Structure: optimized geometry

a = 4.9939 Å, b = 4.9939 Å, c = 4.9939 Å
α = 120.03°, β = 120.03°, γ = 89.95°
Last column: nearest neighbours and their distance in Å.
Fractional positions:
Ta  0.2500  0.7500  0.5000  4 Cd 3.06, 4 Ta 3.06
Ta  0.0000  0.0000  0.0000  4 Ta 3.06, 4 K 3.06
K  0.7500  0.2500  0.5000  4 Cd 3.06, 4 Ta 3.06
Cd  0.5000  0.5000  0.0000  4 Ta 3.06, 4 K 3.06

E_form = 1.264 eV per atom


6.
Compound: AlFe3
Source: Alexandria
Functional: GGA-PBE
Structure: optimized geometry

a = 4.5232 Å, b = 4.5232 Å, c = 4.5232 Å
α = 90.00°, β = 90.00°, γ = 90.00°
Last column: nearest neighbours and their distance in Å.
Fractional positions:
Fe  0.0000  0.5000  0.0000  2 Al 2.26
Al  0.0000  0.0000  0.0000  6 Fe 2.26
Fe  0.5000  0.0000  0.0000  2 Al 2.26
Fe  0.0000  0.0000  0.5000  2 Al 2.26

E_form = 1.801 eV per atom


7.
Compound: Mn3Rh2
Source: Alexandria
Functional: GGA-PBE
Structure: optimized geometry

a = 7.9101 Å, b = 6.9818 Å, c = 5.0915 Å
α = 80.20°, β = 60.43°, γ = 39.37°
Last column: nearest neighbours and their distance in Å.
Fractional positions:
Mn  0.5449  0.7460  0.9534  5 Rh 2.60-2.74, 5 Mn 2.60-2.81
Mn  0.1503  0.3497  0.3497  6 Rh 2.57-2.64, 4 Mn 2.81
Rh  0.3465  0.5464  0.1545  8 Mn 2.57-2.74, 2 Rh 2.83
Mn  0.9003  0.0997  0.0997  6 Rh 2.57-2.64, 4 Mn 2.81
Mn  0.5040  0.7051  0.4943  5 Rh 2.60-2.74, 5 Mn 2.60-2.81
Rh  0.7036  0.9035  0.2974  8 Mn 2.57-2.74, 2 Rh 2.83
Mn  0.2966  0.4943  0.7051  5 Rh 2.60-2.74, 5 Mn 2.60-2.81
Rh  0.0955  0.2974  0.9035  8 Mn 2.57-2.74, 2 Rh 2.83
Rh  0.9526  0.1545  0.5464  8 Mn 2.57-2.74, 2 Rh 2.83
Mn  0.7557  0.9534  0.7460  5 Rh 2.60-2.74, 5 Mn 2.60-2.81

E_form = 0.100 eV per atom


8.
Compound: GaRe2Tc
Source: Alexandria
Functional: GGA-PBE
Structure: optimized geometry

a = 4.3761 Å, b = 4.3761 Å, c = 4.3761 Å
α = 60.00°, β = 60.00°, γ = 60.00°
Last column: nearest neighbours and their distance in Å.
Fractional positions:
Re  0.7500  0.7500  0.7500  4 Tc 2.68, 4 Ga 2.68
Re  0.2500  0.2500  0.2500  4 Tc 2.68, 4 Ga 2.68
Ga  0.0000  0.0000  0.0000  8 Re 2.68
Tc  0.5000  0.5000  0.5000  8 Re 2.68

E_form = 0.269 eV per atom


9.
Compound: Tm2ZrCd2
Source: Alexandria
Functional: GGA-PBE
Structure: optimized geometry

a = 3.3443 Å, b = 3.3562 Å, c = 11.6357 Å
α = 81.71°, β = 90.00°, γ = 90.00°
Last column: nearest neighbours and their distance in Å.
Fractional positions:
Cd  0.0000  0.8027  0.3947  2 Cd 2.95, 4 Tm 3.27
Cd  0.0000  0.1973  0.6053  2 Cd 2.95, 4 Tm 3.27
Tm  0.5000  0.5994  0.8013  4 Cd 3.27, 4 Zr 3.29, 4 Tm 3.34-3.36
Tm  0.5000  0.4006  0.1987  4 Cd 3.27, 4 Zr 3.29, 4 Tm 3.34-3.36
Zr  0.0000  0.0000  0.0000  8 Tm 3.29, 4 Zr 3.34-3.36

E_form = -0.086 eV per atom


Number 4 is which compound? Tl2Te2Pt